Tb2ErScSb4 (PBE, relaxed); DOS at the Fermi energy = 1.21 states/eV/cell; formation energy from raw total energies = -1072 meV per atom; SG = No. 10
1.0
7.502 0.000 0.000
0.000 4.338 0.000
-2.505 0.000 7.078
Tb Er Sc Sb
2 1 1 4
direct
0.000 0.000 0.000
0.000 0.500 0.500
0.500 0.000 0.500
0.500 0.500 0.000
0.258 0.500 0.247
0.262 0.000 0.759
0.738 0.000 0.241
0.742 0.500 0.753